No. 1
MnRe2Si | GGA-PBE | optimized geometry

Values from the calculation:
Total energy: -9.87 eV/atom
ΔE_f (raw): 0.00 eV/atom
Total magnetic moment: 0.69 μB per atom
Fermi-level density of states: 4.120 states/eV per cell

Cell lengths 4.648, 4.648, 4.648 Å; angles 131.75, 131.75, 70.62 degrees
Positions (direct):
Mn 0.000 0.000 0.000
Re 0.250 0.750 0.500
Re 0.500 0.500 0.000
Si 0.750 0.250 0.500

---

No. 2
MnRe2Si | GGA-PBE | optimized geometry

Values from the calculation:
Total energy: -10.01 eV/atom
ΔE_f (raw): -0.14 eV/atom
Total magnetic moment: 0.00 μB per atom
Fermi-level density of states: 3.006 states/eV per cell

Cell lengths 2.876, 2.876, 6.295 Å; angles 90.00, 90.00, 90.00 degrees
Positions (direct):
Mn 0.000 0.000 0.000
Re 0.000 0.000 0.542
Re 0.500 0.500 0.256
Si 0.500 0.500 0.797